Record 1
Here is crystalline ZrFe2B at its relaxed geometry from Alexandria via LeMat-Bulk. Energies are from PBE.

Output
Formation enthalpy at 0 K   0.21 eV per atom

Geometry as CIF:
```
data_ZrFe2B
_symmetry_space_group_name_H-M 'I -4 2 d'
_symmetry_Int_Tables_number 122
_symmetry_space_group_name_Hall 'I -4 2bw'
_cell_length_a 3.754
_cell_length_b 3.754
_cell_length_c 15.225
_cell_angle_alpha 90.00
_cell_angle_beta 90.00
_cell_angle_gamma 90.00
loop_
_atom_site_label
_atom_site_fract_x
_atom_site_fract_y
_atom_site_fract_z
Zr1 0.000 0.000 0.000
Fe1 0.128 0.250 0.625
B1 0.000 0.000 0.500
```

---

Record 2
Here is crystalline YMnW2 at its relaxed geometry from Alexandria via LeMat-Bulk. Energies are from PBE.

Output
Formation enthalpy at 0 K   0.64 eV per atom
ΔE to the lowest computed polymorph   1.230 eV/f.u.

Geometry as CIF:
```
data_YMnW2
_symmetry_space_group_name_H-M 'R 3 m'
_symmetry_Int_Tables_number 160
_symmetry_space_group_name_Hall 'R 3 -2"'
_cell_length_a 3.0125
_cell_length_b 3.0125
_cell_length_c 27.0080
_cell_angle_alpha 90.00
_cell_angle_beta 90.00
_cell_angle_gamma 120.00
loop_
_atom_site_label
_atom_site_fract_x
_atom_site_fract_y
_atom_site_fract_z
Y1 0.0000 0.0000 0.0000
Mn1 0.0000 0.0000 0.7563
W1 0.0000 0.0000 0.2362
W2 0.0000 0.0000 0.4880
```

---

Record 3
Here is crystalline TeMo3 at its relaxed geometry from Alexandria via LeMat-Bulk. Energies are from PBE.

Output
Raw formation energy   458 meV per atom
ΔE to the lowest computed polymorph   0.618 eV/f.u.

Geometry as CIF:
```
data_TeMo3
_symmetry_space_group_name_H-M 'F m -3 m'
_symmetry_Int_Tables_number 225
_symmetry_space_group_name_Hall '-F 4 2 3'
_cell_length_a 6.474
_cell_length_b 6.474
_cell_length_c 6.474
_cell_angle_alpha 90.00
_cell_angle_beta 90.00
_cell_angle_gamma 90.00
loop_
_atom_site_label
_atom_site_fract_x
_atom_site_fract_y
_atom_site_fract_z
Te1 0.000 0.000 0.000
Mo1 0.000 0.000 0.500
Mo2 0.250 0.250 0.250
```

---

Record 4
Here is crystalline YCdAg2 at its relaxed geometry from Alexandria via LeMat-Bulk. Energies are from PBE.

Output
Formation enthalpy at 0 K   -0.18 eV per atom

Geometry as CIF:
```
data_YCdAg2
_symmetry_space_group_name_H-M 'P m m 2'
_symmetry_Int_Tables_number 25
_cell_length_a 3.495
_cell_length_b 3.715
_cell_length_c 6.754
_cell_angle_alpha 90.00
_cell_angle_beta 90.00
_cell_angle_gamma 90.00
loop_
_symmetry_equiv_pos_as_xyz
'x,y,z'
'-x,-y,z'
'-x,y,z'
'x,-y,z'
loop_
_atom_site_label
_atom_site_fract_x
_atom_site_fract_y
_atom_site_fract_z
Y1 0.000 0.000 0.000
Cd1 0.500 0.500 0.702
Ag1 0.000 0.000 0.482
Ag2 0.500 0.500 0.259
```

---

Record 5
Here is crystalline AsSe2Br at its relaxed geometry from Alexandria via LeMat-Bulk. Energies are from PBE.

Output
Raw formation energy   357 meV per atom
ΔE to the lowest computed polymorph   2.035 eV/f.u.

Geometry as CIF:
```
data_AsSe2Br
_symmetry_space_group_name_H-M 'R -3 m'
_symmetry_Int_Tables_number 166
_symmetry_space_group_name_Hall '-R 3 2"'
_cell_length_a 2.9720
_cell_length_b 2.9720
_cell_length_c 39.9852
_cell_angle_alpha 90.00
_cell_angle_beta 90.00
_cell_angle_gamma 120.00
loop_
_atom_site_label
_atom_site_fract_x
_atom_site_fract_y
_atom_site_fract_z
As1 0.0000 0.0000 0.0000
Se1 0.0000 0.0000 0.0676
Br1 0.0000 0.0000 0.5000
```

---

Record 6
Here is crystalline Nd4SmTh3Se8 at its relaxed geometry from Alexandria via LeMat-Bulk. Energies are from PBE.

Output
Raw formation energy   -1718 meV per atom

Geometry as CIF:
```
data_Nd4SmTh3Se8
_symmetry_space_group_name_H-M 'R -3 m'
_symmetry_Int_Tables_number 166
_symmetry_space_group_name_Hall '-R 3 2"'
_cell_length_a 8.3833
_cell_length_b 8.3833
_cell_length_c 20.8272
_cell_angle_alpha 90.00
_cell_angle_beta 90.00
_cell_angle_gamma 120.00
loop_
_atom_site_label
_atom_site_fract_x
_atom_site_fract_y
_atom_site_fract_z
Nd1 0.0000 0.0000 0.0000
Nd2 0.0000 0.5000 0.0000
Sm1 0.0000 0.0000 0.5000
Th1 0.0000 0.5000 0.5000
Se1 0.0000 0.0000 0.2504
Se2 0.0021 0.5010 0.2494
```

---

Record 7
Here is crystalline PrCo3Sn5 at its relaxed geometry from Alexandria via LeMat-Bulk. Energies are from PBE.

Output
Formation enthalpy at 0 K   -0.12 eV per atom

Geometry as CIF:
```
data_PrCo3Sn5
_symmetry_space_group_name_H-M 'C 1 2/m 1'
_symmetry_Int_Tables_number 12
_cell_length_a 11.374
_cell_length_b 8.766
_cell_length_c 9.463
_cell_angle_alpha 90.00
_cell_angle_beta 120.23
_cell_angle_gamma 90.00
loop_
_symmetry_equiv_pos_as_xyz
'x,y,z'
'-x,-y,-z'
'-x,y,-z'
'x,-y,z'
'x+1/2,y+1/2,z'
'-x+1/2,-y+1/2,-z'
'-x+1/2,y+1/2,-z'
'x+1/2,-y+1/2,z'
loop_
_atom_site_label
_atom_site_fract_x
_atom_site_fract_y
_atom_site_fract_z
Pr1 0.097 0.000 0.304
Co1 0.000 0.000 0.000
Co2 0.000 0.000 0.500
Co3 0.136 0.500 0.650
Co4 0.193 0.500 0.179
Sn1 0.000 0.301 0.000
Sn2 0.084 0.500 0.354
Sn3 0.158 0.222 0.663
Sn4 0.241 0.000 0.038
```

---

Record 8
Here is crystalline Tb12Er2Sc at its relaxed geometry from Alexandria via LeMat-Bulk. Energies are from PBE.

Output
Formation enthalpy at 0 K   0.12 eV per atom

Geometry as CIF:
```
data_Tb12Er2Sc
_symmetry_space_group_name_H-M 'C 1 2/m 1'
_symmetry_Int_Tables_number 12
_cell_length_a 6.959
_cell_length_b 11.290
_cell_length_c 24.369
_cell_angle_alpha 90.00
_cell_angle_beta 96.98
_cell_angle_gamma 90.00
loop_
_symmetry_equiv_pos_as_xyz
'x,y,z'
'-x,-y,-z'
'-x,y,-z'
'x,-y,z'
'x+1/2,y+1/2,z'
'-x+1/2,-y+1/2,-z'
'-x+1/2,y+1/2,-z'
'x+1/2,-y+1/2,z'
loop_
_atom_site_label
_atom_site_fract_x
_atom_site_fract_y
_atom_site_fract_z
Tb1 0.046 0.221 0.433
Tb2 0.101 0.239 0.944
Tb3 0.133 0.500 0.614
Tb4 0.149 0.500 0.079
Tb5 0.163 0.000 0.657
Tb6 0.168 0.000 0.071
Tb7 0.199 0.261 0.173
Tb8 0.201 0.217 0.303
Er1 0.028 0.000 0.791
Er2 0.035 0.500 0.771
Sc1 0.248 0.000 0.517
```

---

Record 9
Here is crystalline NaTa2In4 at its relaxed geometry from Alexandria via LeMat-Bulk. Energies are from PBE.

Output
Formation enthalpy at 0 K   0.85 eV per atom

Geometry as CIF:
```
data_NaTa2In4
_symmetry_space_group_name_H-M 'I 4/m m m'
_symmetry_Int_Tables_number 139
_symmetry_space_group_name_Hall '-I 4 2'
_cell_length_a 5.324
_cell_length_b 5.324
_cell_length_c 14.177
_cell_angle_alpha 90.00
_cell_angle_beta 90.00
_cell_angle_gamma 90.00
loop_
_atom_site_label
_atom_site_fract_x
_atom_site_fract_y
_atom_site_fract_z
Na1 0.000 0.000 0.000
Ta1 0.000 0.000 0.414
In1 0.000 0.000 0.208
In2 0.000 0.500 0.000
```

---

Record 10
Here is crystalline Ba2AgBiAu6 at its relaxed geometry from Alexandria via LeMat-Bulk. Energies are from PBE.

Output
Formation enthalpy at 0 K   -0.41 eV per atom

Geometry as CIF:
```
data_Ba2AgBiAu6
_symmetry_space_group_name_H-M 'C 1 2/m 1'
_symmetry_Int_Tables_number 12
_cell_length_a 13.698
_cell_length_b 5.604
_cell_length_c 9.853
_cell_angle_alpha 90.00
_cell_angle_beta 133.28
_cell_angle_gamma 90.00
loop_
_symmetry_equiv_pos_as_xyz
'x,y,z'
'-x,-y,-z'
'-x,y,-z'
'x,-y,z'
'x+1/2,y+1/2,z'
'-x+1/2,-y+1/2,-z'
'-x+1/2,y+1/2,-z'
'x+1/2,-y+1/2,z'
loop_
_atom_site_label
_atom_site_fract_x
_atom_site_fract_y
_atom_site_fract_z
Ba1 0.036 0.000 0.292
Ag1 0.000 0.500 0.500
Bi1 0.000 0.500 0.000
Au1 0.169 0.500 0.913
Au2 0.239 0.249 0.737
```

---

Record 11
Here is crystalline Mg2ZrGe2 at its relaxed geometry from Alexandria via LeMat-Bulk. Energies are from PBE.

Output
Formation enthalpy at 0 K   -0.23 eV per atom

Geometry as CIF:
```
data_Mg2ZrGe2
_symmetry_space_group_name_H-M 'P 4/m b m'
_symmetry_Int_Tables_number 127
_symmetry_space_group_name_Hall '-P 4 2ab'
_cell_length_a 7.654
_cell_length_b 7.654
_cell_length_c 3.352
_cell_angle_alpha 90.00
_cell_angle_beta 90.00
_cell_angle_gamma 90.00
loop_
_atom_site_label
_atom_site_fract_x
_atom_site_fract_y
_atom_site_fract_z
Mg1 0.143 0.357 0.000
Zr1 0.000 0.000 0.500
Ge1 0.158 0.658 0.500
```

---

Record 12
Here is crystalline Na2CdAs2 at its relaxed geometry from Alexandria via LeMat-Bulk. Energies are from PBE.

Output
Formation enthalpy at 0 K   -0.31 eV per atom
ΔE to the lowest computed polymorph   0.137 eV/f.u.

Geometry as CIF:
```
data_Na2CdAs2
_symmetry_space_group_name_H-M 'P 4/m b m'
_symmetry_Int_Tables_number 127
_symmetry_space_group_name_Hall '-P 4 2ab'
_cell_length_a 7.089
_cell_length_b 7.089
_cell_length_c 4.761
_cell_angle_alpha 90.00
_cell_angle_beta 90.00
_cell_angle_gamma 90.00
loop_
_atom_site_label
_atom_site_fract_x
_atom_site_fract_y
_atom_site_fract_z
Na1 0.169 0.331 0.000
Cd1 0.000 0.000 0.500
As1 0.127 0.627 0.500
```

---

Number 1: VASP energy -7.828 eV/atom. Number 2: VASP energy -9.742 eV/atom. Number 3: VASP energy -8.451 eV/atom. Number 4: VASP energy -3.454 eV/atom. Number 5: VASP energy -2.966 eV/atom. Number 6: VASP energy -6.339 eV/atom. Number 7: VASP energy -5.243 eV/atom. Number 8: VASP energy -4.613 eV/atom. Number 9: VASP energy -4.292 eV/atom. Number 10: VASP energy -3.435 eV/atom. Number 11: VASP energy -4.425 eV/atom. Number 12: VASP energy -2.876 eV/atom.